Compound: Rb3NiF7
Source: Alexandria
Functional: PBE with a Hubbard U
Structure: relaxed

```
Rb3NiF7
1.0
-4.2305 5.9920 3.4297
-5.9741 -1.1607 -5.3410
-2.5345 -3.8969 3.6819
F Rb Ni
14 6 2
direct
0.1574 0.6574 0.0000 F
0.8898 0.6102 0.7828 F
0.0000 0.0000 0.5000 F
0.6574 0.8426 0.0000 F
0.8898 0.6102 0.2172 F
0.8426 0.3426 0.0000 F
0.6102 0.1102 0.7828 F
0.6102 0.1102 0.2172 F
0.1102 0.3898 0.7828 F
0.3898 0.8898 0.7828 F
0.5000 0.5000 0.5000 F
0.3898 0.8898 0.2172 F
0.1102 0.3898 0.2172 F
0.3426 0.1574 0.0000 F
0.1906 0.6906 0.5000 Rb
0.5000 0.5000 0.0000 Rb
0.8094 0.3094 0.5000 Rb
0.0000 0.0000 0.0000 Rb
0.3094 0.1906 0.5000 Rb
0.6906 0.8094 0.5000 Rb
0.5000 0.0000 0.0000 Ni
0.0000 0.5000 0.0000 Ni
```

Values from the calculation:
SG	P4/mbm (127)
calculated volume	388.80	Å³/cell
total energy	-3.937	eV/atom